Record 1
# BaMgAs (GGA-PBE, relaxed)
# E above lowest polymorph   0.277 eV/atom
data_BaMgAs
_cell_length_a 7.372
_cell_length_b 7.372
_cell_length_c 7.372
_cell_angle_alpha 90.00
_cell_angle_beta 90.00
_cell_angle_gamma 90.00
_space_group_name_H-M_alt 'F -4 3 m'
_space_group_IT_number 216
_space_group_name_Hall 'F -4 2 3'
loop_
_atom_site_label
_atom_site_type_symbol
_atom_site_fract_x
_atom_site_fract_y
_atom_site_fract_z
Ba1 Ba 0.000 0.000 0.000
Mg1 Mg 0.000 0.000 0.500
As1 As 0.250 0.250 0.250


Record 2
# BaMgAs3 (GGA-PBE, relaxed)
# E above lowest polymorph   0.000 eV/atom
data_BaMgAs3
_cell_length_a 5.137
_cell_length_b 5.137
_cell_length_c 5.137
_cell_angle_alpha 90.00
_cell_angle_beta 90.00
_cell_angle_gamma 90.00
_space_group_name_H-M_alt 'P m -3 m'
_space_group_IT_number 221
_space_group_name_Hall '-P 4 2 3'
loop_
_atom_site_label
_atom_site_type_symbol
_atom_site_fract_x
_atom_site_fract_y
_atom_site_fract_z
Ba1 Ba 0.000 0.000 0.000
Mg1 Mg 0.500 0.500 0.500
As1 As 0.000 0.500 0.500


Record 3
# Ba2Mg2As3 (GGA-PBE, relaxed)
# DFT total energy   -3.97 eV per atom
data_Ba2Mg2As3
_cell_length_a 17.373
_cell_length_b 4.572
_cell_length_c 12.863
_cell_angle_alpha 90.00
_cell_angle_beta 126.32
_cell_angle_gamma 90.00
_space_group_name_H-M_alt 'C 1 2/m 1'
_space_group_IT_number 12
_space_group_name_Hall '-C 2y'
loop_
_atom_site_label
_atom_site_type_symbol
_atom_site_fract_x
_atom_site_fract_y
_atom_site_fract_z
Ba1 Ba 0.112 0.000 0.458
Ba2 Ba 0.230 0.000 0.832
Mg1 Mg 0.036 0.500 0.818
Mg2 Mg 0.086 0.000 0.151
As1 As 0.068 0.500 0.620
As2 As 0.109 0.000 0.959
As3 As 0.150 0.500 0.294


Record 4
# Ba2MgAs (GGA-PBE, relaxed)
# E above lowest polymorph   0.273 eV/atom
data_Ba2MgAs
_cell_length_a 9.280
_cell_length_b 9.280
_cell_length_c 8.149
_cell_angle_alpha 90.00
_cell_angle_beta 90.00
_cell_angle_gamma 90.00
_space_group_name_H-M_alt 'I -4 2 d'
_space_group_IT_number 122
_space_group_name_Hall 'I -4 2bw'
loop_
_atom_site_label
_atom_site_type_symbol
_atom_site_fract_x
_atom_site_fract_y
_atom_site_fract_z
Ba1 Ba 0.199 0.250 0.125
Mg1 Mg 0.000 0.000 0.500
As1 As 0.000 0.000 0.000


Record 5
# Ba2MgAs (GGA-PBE, relaxed)
# E above lowest polymorph   0.086 eV/atom
data_Ba2MgAs
_cell_length_a 4.5386
_cell_length_b 4.5386
_cell_length_c 27.3070
_cell_angle_alpha 90.00
_cell_angle_beta 90.00
_cell_angle_gamma 120.00
_space_group_name_H-M_alt 'R 3 m'
_space_group_IT_number 160
_space_group_name_Hall 'R 3 -2"'
loop_
_atom_site_label
_atom_site_type_symbol
_atom_site_fract_x
_atom_site_fract_y
_atom_site_fract_z
Ba1 Ba 0.0000 0.0000 0.0000
Ba2 Ba 0.0000 0.0000 0.1867
Mg1 Mg 0.0000 0.0000 0.7629
As1 As 0.0000 0.0000 0.4223


Record 6
# BaMgMoAs2 (GGA-PBE, relaxed)
# DFT total energy   -3.76 eV per atom
data_BaMgMoAs2
_cell_length_a 5.076
_cell_length_b 5.076
_cell_length_c 5.681
_cell_angle_alpha 90.00
_cell_angle_beta 90.00
_cell_angle_gamma 90.00
_space_group_name_H-M_alt 'P 4/m m m'
_space_group_IT_number 123
_space_group_name_Hall '-P 4 2'
loop_
_atom_site_label
_atom_site_type_symbol
_atom_site_fract_x
_atom_site_fract_y
_atom_site_fract_z
Ba1 Ba 0.000 0.000 0.000
Mg1 Mg 0.000 0.000 0.500
Mo1 Mo 0.500 0.500 0.000
As1 As 0.000 0.500 0.500


Record 7
# BaNa2MgAs (GGA-PBE, relaxed)
# DFT total energy   -1.08 eV per atom
data_BaNa2MgAs
_cell_length_a 6.259
_cell_length_b 6.259
_cell_length_c 6.179
_cell_angle_alpha 90.00
_cell_angle_beta 90.00
_cell_angle_gamma 90.00
_space_group_name_H-M_alt 'P 4/m m m'
_space_group_IT_number 123
_space_group_name_Hall '-P 4 2'
loop_
_atom_site_label
_atom_site_type_symbol
_atom_site_fract_x
_atom_site_fract_y
_atom_site_fract_z
Ba1 Ba 0.000 0.000 0.000
Na1 Na 0.000 0.500 0.000
Mg1 Mg 0.000 0.000 0.500
As1 As 0.500 0.500 0.500


Record 8
# Ba2Mg2NpAs4 (GGA-PBE, relaxed)
# DFT total energy   -5.17 eV per atom
data_Ba2Mg2NpAs4
_cell_length_a 15.807
_cell_length_b 4.377
_cell_length_c 7.706
_cell_angle_alpha 90.00
_cell_angle_beta 108.80
_cell_angle_gamma 90.00
_space_group_name_H-M_alt 'C 1 2/m 1'
_space_group_IT_number 12
_space_group_name_Hall '-C 2y'
loop_
_atom_site_label
_atom_site_type_symbol
_atom_site_fract_x
_atom_site_fract_y
_atom_site_fract_z
Ba1 Ba 0.132 0.000 0.065
Mg1 Mg 0.175 0.500 0.495
Np1 Np 0.000 0.000 0.500
As1 As 0.011 0.500 0.260
As2 As 0.203 0.000 0.696


Record 9
# Ba2MgAsO (GGA-PBE, relaxed)
# Formation energy (no corrections)   -1313 meV/atom
data_Ba2MgAsO
_cell_length_a 5.545
_cell_length_b 5.545
_cell_length_c 4.353
_cell_angle_alpha 90.00
_cell_angle_beta 90.00
_cell_angle_gamma 90.00
_space_group_name_H-M_alt 'P 4/m m m'
_space_group_IT_number 123
_space_group_name_Hall '-P 4 2'
loop_
_atom_site_label
_atom_site_type_symbol
_atom_site_fract_x
_atom_site_fract_y
_atom_site_fract_z
Ba1 Ba 0.000 0.500 0.000
Mg1 Mg 0.000 0.000 0.500
As1 As 0.500 0.500 0.500
O1 O 0.000 0.000 0.000


Record 10
# BaMgAs2O6 (GGA-PBE, relaxed)
# Formation energy (no corrections)   -1683 meV/atom
data_BaMgAs2O6
_cell_length_a 5.6242
_cell_length_b 5.6242
_cell_length_c 17.4968
_cell_angle_alpha 90.00
_cell_angle_beta 90.00
_cell_angle_gamma 120.00
_space_group_name_H-M_alt 'R -3'
_space_group_IT_number 148
_space_group_name_Hall '-R 3'
loop_
_atom_site_label
_atom_site_type_symbol
_atom_site_fract_x
_atom_site_fract_y
_atom_site_fract_z
Ba1 Ba 0.0000 0.0000 0.0000
Mg1 Mg 0.0000 0.0000 0.5000
As1 As 0.0000 0.0000 0.2605
O1 O 0.0127 0.6152 0.9010


Record 11
# Ba3MgAs2O8 (GGA-PBE, relaxed)
# Formation energy (no corrections)   -2028 meV/atom
data_Ba3MgAs2O8
_cell_length_a 5.9173
_cell_length_b 5.9173
_cell_length_c 7.6061
_cell_angle_alpha 90.00
_cell_angle_beta 90.00
_cell_angle_gamma 120.00
_space_group_name_H-M_alt 'P -3 m 1'
_space_group_IT_number 164
_space_group_name_Hall '-P 3 2"'
loop_
_atom_site_label
_atom_site_type_symbol
_atom_site_fract_x
_atom_site_fract_y
_atom_site_fract_z
Ba1 Ba 0.0000 0.0000 0.0000
Ba2 Ba 0.3333 0.6667 0.6529
Mg1 Mg 0.0000 0.0000 0.5000
As1 As 0.3333 0.6667 0.2215
O1 O 0.1655 0.3310 0.3229
O2 O 0.3333 0.6667 0.9850


Record 12
# Ba3MgPa2As6 (GGA-PBE, relaxed)
# DFT total energy   -5.53 eV per atom
data_Ba3MgPa2As6
_cell_length_a 7.499
_cell_length_b 12.976
_cell_length_c 7.837
_cell_angle_alpha 90.00
_cell_angle_beta 108.41
_cell_angle_gamma 90.00
_space_group_name_H-M_alt 'C 1 2/m 1'
_space_group_IT_number 12
_space_group_name_Hall '-C 2y'
loop_
_atom_site_label
_atom_site_type_symbol
_atom_site_fract_x
_atom_site_fract_y
_atom_site_fract_z
Ba1 Ba 0.000 0.000 0.000
Ba2 Ba 0.000 0.338 0.000
Mg1 Mg 0.000 0.500 0.500
Pa1 Pa 0.000 0.168 0.500
As1 As 0.221 0.000 0.700
As2 As 0.241 0.327 0.704


Record 13
# Ba2Mg2PaAs4 (GGA-PBE, relaxed)
# DFT total energy   -4.88 eV per atom
data_Ba2Mg2PaAs4
_cell_length_a 15.796
_cell_length_b 4.361
_cell_length_c 7.781
_cell_angle_alpha 90.00
_cell_angle_beta 109.08
_cell_angle_gamma 90.00
_space_group_name_H-M_alt 'C 1 2/m 1'
_space_group_IT_number 12
_space_group_name_Hall '-C 2y'
loop_
_atom_site_label
_atom_site_type_symbol
_atom_site_fract_x
_atom_site_fract_y
_atom_site_fract_z
Ba1 Ba 0.131 0.000 0.065
Mg1 Mg 0.176 0.500 0.492
Pa1 Pa 0.000 0.000 0.500
As1 As 0.012 0.500 0.256
As2 As 0.201 0.000 0.694


Record 14
# BaMgPaAs3 (GGA-PBE, relaxed)
# DFT total energy   -5.44 eV per atom
data_BaMgPaAs3
_cell_length_a 8.760
_cell_length_b 4.358
_cell_length_c 9.639
_cell_angle_alpha 90.00
_cell_angle_beta 105.51
_cell_angle_gamma 90.00
_space_group_name_H-M_alt 'P 1 21/m 1'
_space_group_IT_number 11
_space_group_name_Hall '-P 2yb'
loop_
_atom_site_label
_atom_site_type_symbol
_atom_site_fract_x
_atom_site_fract_y
_atom_site_fract_z
Ba1 Ba 0.208 0.250 0.242
Mg1 Mg 0.090 0.250 0.598
Pa1 Pa 0.321 0.750 0.849
As1 As 0.115 0.250 0.874
As2 As 0.229 0.750 0.536
As3 As 0.467 0.750 0.153


Record 15
# BaMgAsPb2 (GGA-PBE, relaxed)
# DFT total energy   -2.26 eV per atom
data_BaMgAsPb2
_cell_length_a 6.395
_cell_length_b 6.395
_cell_length_c 5.799
_cell_angle_alpha 90.00
_cell_angle_beta 90.00
_cell_angle_gamma 90.00
_space_group_name_H-M_alt 'P 4/m m m'
_space_group_IT_number 123
_space_group_name_Hall '-P 4 2'
loop_
_atom_site_label
_atom_site_type_symbol
_atom_site_fract_x
_atom_site_fract_y
_atom_site_fract_z
Ba1 Ba 0.000 0.000 0.000
Mg1 Mg 0.500 0.500 0.500
As1 As 0.000 0.000 0.500
Pb1 Pb 0.000 0.500 0.000


Record 16
# Ba2MgAsPt (GGA-PBE, relaxed)
# DFT total energy   -3.53 eV per atom
data_Ba2MgAsPt
_cell_length_a 6.260
_cell_length_b 6.260
_cell_length_c 4.849
_cell_angle_alpha 90.00
_cell_angle_beta 90.00
_cell_angle_gamma 90.00
_space_group_name_H-M_alt 'P 4/m m m'
_space_group_IT_number 123
_space_group_name_Hall '-P 4 2'
loop_
_atom_site_label
_atom_site_type_symbol
_atom_site_fract_x
_atom_site_fract_y
_atom_site_fract_z
Ba1 Ba 0.000 0.500 0.000
Mg1 Mg 0.000 0.000 0.500
As1 As 0.000 0.000 0.000
Pt1 Pt 0.500 0.500 0.500


Record 17
# Ba2MgAs3Pt4 (GGA-PBE, relaxed)
# DFT total energy   -5.13 eV per atom
data_Ba2MgAs3Pt4
_cell_length_a 4.543
_cell_length_b 4.543
_cell_length_c 10.516
_cell_angle_alpha 90.00
_cell_angle_beta 90.00
_cell_angle_gamma 90.00
_space_group_name_H-M_alt 'P -4 m 2'
_space_group_IT_number 115
_space_group_name_Hall 'P -4 -2'
loop_
_atom_site_label
_atom_site_type_symbol
_atom_site_fract_x
_atom_site_fract_y
_atom_site_fract_z
Ba1 Ba 0.000 0.500 0.246
Mg1 Mg 0.000 0.000 0.500
As1 As 0.000 0.500 0.877
As2 As 0.500 0.500 0.500
Pt1 Pt 0.000 0.000 0.000
Pt2 Pt 0.000 0.500 0.628
Pt3 Pt 0.500 0.500 0.000


Record 18
# BaMg2SbAs (GGA-PBE, relaxed)
# Formation energy (no corrections)   -29 meV/atom
data_BaMg2SbAs
_cell_length_a 5.343
_cell_length_b 5.343
_cell_length_c 6.074
_cell_angle_alpha 90.00
_cell_angle_beta 90.00
_cell_angle_gamma 90.00
_space_group_name_H-M_alt 'P 4/m m m'
_space_group_IT_number 123
_space_group_name_Hall '-P 4 2'
loop_
_atom_site_label
_atom_site_type_symbol
_atom_site_fract_x
_atom_site_fract_y
_atom_site_fract_z
Ba1 Ba 0.000 0.000 0.000
Mg1 Mg 0.000 0.500 0.500
Sb1 Sb 0.500 0.500 0.500
As1 As 0.500 0.500 0.000


Record 19
# BaMgScAs (GGA-PBE, relaxed)
# DFT total energy   -4.26 eV per atom
data_BaMgScAs
_cell_length_a 4.361
_cell_length_b 4.361
_cell_length_c 13.390
_cell_angle_alpha 90.00
_cell_angle_beta 90.00
_cell_angle_gamma 90.00
_space_group_name_H-M_alt 'P 4/n m m'
_space_group_IT_number 129
loop_
_space_group_symop_operation_xyz
'x,y,z'
'-x,-y,-z'
'-y+1/2,x,z'
'y+1/2,-x,-z'
'-x+1/2,-y+1/2,z'
'x+1/2,y+1/2,-z'
'y,-x+1/2,z'
'-y,x+1/2,-z'
'x+1/2,-y,-z'
'-x+1/2,y,z'
'-y,-x,-z'
'y,x,z'
'-x,y+1/2,-z'
'x,-y+1/2,z'
'y+1/2,x+1/2,-z'
'-y+1/2,-x+1/2,z'
loop_
_atom_site_label
_atom_site_type_symbol
_atom_site_fract_x
_atom_site_fract_y
_atom_site_fract_z
Ba1 Ba 0.250 0.250 0.247
Mg1 Mg 0.250 0.750 0.500
Sc1 Sc 0.250 0.750 0.000
As1 As 0.250 0.250 0.872


Record 20
# BaMgAsSe2 (GGA-PBE, relaxed)
# Formation energy (no corrections)   -739 meV/atom
# E above lowest polymorph   0.000 eV/atom
data_BaMgAsSe2
_cell_length_a 5.299
_cell_length_b 5.299
_cell_length_c 4.974
_cell_angle_alpha 90.00
_cell_angle_beta 90.00
_cell_angle_gamma 90.00
_space_group_name_H-M_alt 'P 4/m m m'
_space_group_IT_number 123
_space_group_name_Hall '-P 4 2'
loop_
_atom_site_label
_atom_site_type_symbol
_atom_site_fract_x
_atom_site_fract_y
_atom_site_fract_z
Ba1 Ba 0.000 0.000 0.000
Mg1 Mg 0.500 0.500 0.500
As1 As 0.500 0.500 0.000
Se1 Se 0.000 0.500 0.500


Record 21
# Ba2MgAsSe (GGA-PBE, relaxed)
# Formation energy (no corrections)   -377 meV/atom
data_Ba2MgAsSe
_cell_length_a 6.281
_cell_length_b 6.281
_cell_length_c 5.363
_cell_angle_alpha 90.00
_cell_angle_beta 90.00
_cell_angle_gamma 90.00
_space_group_name_H-M_alt 'P 4/m m m'
_space_group_IT_number 123
_space_group_name_Hall '-P 4 2'
loop_
_atom_site_label
_atom_site_type_symbol
_atom_site_fract_x
_atom_site_fract_y
_atom_site_fract_z
Ba1 Ba 0.000 0.500 0.000
Mg1 Mg 0.000 0.000 0.500
As1 As 0.500 0.500 0.000
Se1 Se 0.500 0.500 0.500


Record 22
# BaMgAsSe2 (GGA-PBE, relaxed)
# Formation energy (no corrections)   446 meV/atom
# E above lowest polymorph   1.185 eV/atom
data_BaMgAsSe2
_cell_length_a 5.942
_cell_length_b 5.942
_cell_length_c 5.819
_cell_angle_alpha 90.00
_cell_angle_beta 90.00
_cell_angle_gamma 90.00
_space_group_name_H-M_alt 'P 4/m m m'
_space_group_IT_number 123
_space_group_name_Hall '-P 4 2'
loop_
_atom_site_label
_atom_site_type_symbol
_atom_site_fract_x
_atom_site_fract_y
_atom_site_fract_z
Ba1 Ba 0.000 0.000 0.000
Mg1 Mg 0.500 0.500 0.500
As1 As 0.000 0.000 0.500
Se1 Se 0.000 0.500 0.000


Record 23
# BaSr2MgAs (GGA-PBE, relaxed)
# DFT total energy   -2.74 eV per atom
data_BaSr2MgAs
_cell_length_a 6.024
_cell_length_b 6.024
_cell_length_c 6.432
_cell_angle_alpha 90.00
_cell_angle_beta 90.00
_cell_angle_gamma 90.00
_space_group_name_H-M_alt 'P 4/m m m'
_space_group_IT_number 123
_space_group_name_Hall '-P 4 2'
loop_
_atom_site_label
_atom_site_type_symbol
_atom_site_fract_x
_atom_site_fract_y
_atom_site_fract_z
Ba1 Ba 0.000 0.000 0.000
Sr1 Sr 0.000 0.500 0.500
Mg1 Mg 0.500 0.500 0.000
As1 As 0.000 0.000 0.500


Record 24
# BaMgTc2As (GGA-PBE, relaxed)
# DFT total energy   -4.61 eV per atom
data_BaMgTc2As
_cell_length_a 4.962
_cell_length_b 4.962
_cell_length_c 5.043
_cell_angle_alpha 90.00
_cell_angle_beta 90.00
_cell_angle_gamma 90.00
_space_group_name_H-M_alt 'P 4/m m m'
_space_group_IT_number 123
_space_group_name_Hall '-P 4 2'
loop_
_atom_site_label
_atom_site_type_symbol
_atom_site_fract_x
_atom_site_fract_y
_atom_site_fract_z
Ba1 Ba 0.000 0.000 0.000
Mg1 Mg 0.500 0.500 0.500
Tc1 Tc 0.000 0.500 0.500
As1 As 0.500 0.500 0.000


Record 25
# Ba2Mg2UAs4 (GGA-PBE, relaxed)
# DFT total energy   -5.01 eV per atom
data_Ba2Mg2UAs4
_cell_length_a 15.785
_cell_length_b 4.370
_cell_length_c 7.739
_cell_angle_alpha 90.00
_cell_angle_beta 108.86
_cell_angle_gamma 90.00
_space_group_name_H-M_alt 'C 1 2/m 1'
_space_group_IT_number 12
_space_group_name_Hall '-C 2y'
loop_
_atom_site_label
_atom_site_type_symbol
_atom_site_fract_x
_atom_site_fract_y
_atom_site_fract_z
Ba1 Ba 0.131 0.000 0.065
Mg1 Mg 0.175 0.500 0.494
U1 U 0.000 0.000 0.500
As1 As 0.011 0.500 0.259
As2 As 0.202 0.000 0.695


Record 26
# BaMn2As (GGA-PBE, relaxed)
# DFT total energy   -5.99 eV per atom
data_BaMn2As
_cell_length_a 3.915
_cell_length_b 4.270
_cell_length_c 12.026
_cell_angle_alpha 90.00
_cell_angle_beta 90.00
_cell_angle_gamma 90.00
_space_group_name_H-M_alt 'I m m 2'
_space_group_IT_number 44
_space_group_name_Hall 'I 2 -2'
loop_
_atom_site_label
_atom_site_type_symbol
_atom_site_fract_x
_atom_site_fract_y
_atom_site_fract_z
Ba1 Ba 0.000 0.000 0.000
Mn1 Mn 0.000 0.000 0.644
Mn2 Mn 0.000 0.500 0.766
As1 As 0.000 0.500 0.260